CeDyTmHf | PBE | optimized geometry

Summary:
Formation enthalpy at 0 K in eV/atom: 0.246

Cell: 7.638 7.638 7.638 Å, 90.00 90.00 90.00°
Space group F-43m (No. 216)
Symmetry-distinct sites (fractional):
Ce  0.000  0.000  0.000 [4 per cell]
Dy  0.000  0.000  0.500 [4 per cell]
Tm  0.250  0.250  0.250 [4 per cell]
Hf  0.250  0.250  0.750 [4 per cell]